Computed, not measured: crystalline FeC2F2 at its relaxed geometry at the PBE+U level of DFT.

Distance to the lowest polymorph of the same formula, eV/f.u.: 5.76
Total energy, eV/atom: -4.381
Total magnetic moment, μB/cell: 10.669

Cell lengths 4.972, 4.972, 5.424 Å; angles 90.00, 90.00, 90.00 degrees
Fractional positions:
Fe 0.000 0.000 0.000
Fe 0.500 0.500 0.000
C 0.248 0.252 0.500
C 0.252 0.752 0.500
C 0.748 0.248 0.500
C 0.752 0.748 0.500
F 0.162 0.338 0.000
F 0.338 0.838 0.000
F 0.662 0.162 0.000
F 0.838 0.662 0.000